Entry 1:
MgAl2Ru: optimized geometry, PBE.

Calculated values
M_tot in Bohr magnetons per cell: 0.00
ΔH_f (0 K) in meV/atom: -236

```
data_MgAl2Ru
_cell_length_a 3.910
_cell_length_b 3.942
_cell_length_c 3.974
_cell_angle_alpha 90.00
_cell_angle_beta 90.00
_cell_angle_gamma 90.00
_space_group_name_H-M_alt 'P m m m'
_space_group_IT_number 47
_space_group_name_Hall '-P 2 2'
loop_
_atom_site_label
_atom_site_type_symbol
_atom_site_fract_x
_atom_site_fract_y
_atom_site_fract_z
_atom_site_occupancy
Mg1 Mg 0.000 0.000 0.000 1
Al1 Al 0.500 0.000 0.500 1
Al2 Al 0.500 0.500 0.000 1
Ru1 Ru 0.000 0.500 0.500 1
```



Entry 2:
CdReAgIr2: optimized geometry, PBE.

Calculated values
M_tot in Bohr magnetons per cell: 0.00
ΔH_f (0 K) in meV/atom: 1377

```
data_CdReAgIr2
_cell_length_a 4.723
_cell_length_b 4.723
_cell_length_c 5.200
_cell_angle_alpha 90.00
_cell_angle_beta 90.00
_cell_angle_gamma 90.00
_space_group_name_H-M_alt 'P 4/m m m'
_space_group_IT_number 123
_space_group_name_Hall '-P 4 2'
loop_
_atom_site_label
_atom_site_type_symbol
_atom_site_fract_x
_atom_site_fract_y
_atom_site_fract_z
_atom_site_occupancy
Cd1 Cd 0.000 0.000 0.000 1
Re1 Re 0.000 0.000 0.500 1
Ag1 Ag 0.500 0.500 0.000 1
Ir1 Ir 0.000 0.500 0.500 1
```



Entry 3:
Zr2NpTi: optimized geometry, PBE.

Calculated values
M_tot in Bohr magnetons per cell: 12.21
ΔH_f (0 K) in meV/atom: 322

```
data_Zr2NpTi
_cell_length_a 6.992
_cell_length_b 6.992
_cell_length_c 6.992
_cell_angle_alpha 90.00
_cell_angle_beta 90.00
_cell_angle_gamma 90.00
_space_group_name_H-M_alt 'F m -3 m'
_space_group_IT_number 225
_space_group_name_Hall '-F 4 2 3'
loop_
_atom_site_label
_atom_site_type_symbol
_atom_site_fract_x
_atom_site_fract_y
_atom_site_fract_z
_atom_site_occupancy
Zr1 Zr 0.250 0.250 0.250 1
Np1 Np 0.000 0.000 0.000 1
Ti1 Ti 0.000 0.000 0.500 1
```



> M_tot of number 1 (MgAl2Ru)?

0.00 Bohr magnetons per cell



> Which of these has the lowest ΔH_f (0 K)?

MgAl2Ru